A relaxed Nd5ZnRh2 crystal, computed with GGA-PBE.

For the uncorrected energy, the calculation gives -86.89 eV per cell. Its density of states at the Fermi level is 1.09 states/eV/atom. For the magnetization, the calculation gives 0.0 μB per cell. The value obtained for the energy relative to the elements is -0.45 eV per atom.

a = 8.7882 Å, b = 8.7882 Å, c = 8.7882 Å
α = 125.86°, β = 125.86°, γ = 80.11°
With the nearest neighbours (Å) after each atom.
Fractional positions:
Nd: 0.0000 0.0000 0.0000  4 Rh 3.12, 2 Zn 3.36
Nd: 0.0255 0.5255 0.8273  3 Rh 2.95-3.03
Nd: 0.1983 0.0255 0.5000  3 Rh 2.95-3.03
Nd: 0.3017 0.8017 0.8273  3 Rh 2.95-3.03
Nd: 0.4745 0.3017 0.5000  3 Rh 2.95-3.03
Nd: 0.5000 0.5000 0.0000  4 Rh 3.12, 2 Zn 3.36
Nd: 0.5255 0.6983 0.5000  3 Rh 2.95-3.03
Nd: 0.6983 0.1983 0.1727  3 Rh 2.95-3.03
Nd: 0.8017 0.9745 0.5000  3 Rh 2.95-3.03
Nd: 0.9745 0.4745 0.1727  3 Rh 2.95-3.03
Zn: 0.2500 0.2500 0.0000  10 Nd 3.35-3.36
Zn: 0.7500 0.7500 0.0000  10 Nd 3.35-3.36
Rh: 0.1337 0.3663 0.5000  8 Nd 2.95-3.12, 1 Rh 3.02
Rh: 0.3663 0.8663 0.2326  8 Nd 2.95-3.12, 1 Rh 3.02
Rh: 0.6337 0.1337 0.7674  8 Nd 2.95-3.12, 1 Rh 3.02
Rh: 0.8663 0.6337 0.5000  8 Nd 2.95-3.12, 1 Rh 3.02